No. 1
{"formula": "Li3AgSb4Pb2", "functional": "PBE-GGA", "state": "relaxed", "cell": [[-2.324, 3.640, -1.166], [-3.719, -1.839, 1.671], [2.449, 5.114, 11.083]], "species": ["Li", "Li", "Li", "Ag", "Sb", "Sb", "Sb", "Sb", "Pb", "Pb"], "fractional_positions": [[0.000, 0.000, 0.500], [0.500, 0.000, 0.859], [0.000, 0.500, 0.141], [0.500, 0.500, 0.500], [0.500, 0.500, 0.000], [0.000, 0.000, 0.000], [0.500, 0.000, 0.645], [0.000, 0.500, 0.355], [0.500, 0.000, 0.266], [0.000, 0.500, 0.734]], "e_tot_ev_per_cell": -34.62, "crystal_system": "tetragonal", "formation_energy_uncorrected_mev_per_atom": -212}

=====

No. 2
{"formula": "KCd6Hg12", "functional": "PBE-GGA", "state": "relaxed", "cell": [[-1.648, -0.169, 8.223], [-6.714, -3.591, -3.519], [6.115, -5.655, -0.990]], "species": ["K", "Cd", "Cd", "Cd", "Cd", "Cd", "Cd", "Hg", "Hg", "Hg", "Hg", "Hg", "Hg", "Hg", "Hg", "Hg", "Hg", "Hg", "Hg"], "fractional_positions": [[0.000, 0.000, 0.000], [0.709, 0.290, 0.290], [0.290, 0.290, 0.709], [0.290, 0.709, 0.290], [0.710, 0.710, 0.291], [0.291, 0.710, 0.710], [0.710, 0.291, 0.710], [0.889, 0.111, 0.500], [0.865, 0.618, 0.618], [0.618, 0.618, 0.865], [0.382, 0.135, 0.382], [0.382, 0.382, 0.135], [0.135, 0.382, 0.382], [0.111, 0.500, 0.889], [0.500, 0.889, 0.111], [0.111, 0.889, 0.500], [0.889, 0.500, 0.111], [0.500, 0.111, 0.889], [0.618, 0.865, 0.618]], "relative_energy_ev_per_atom": 0.000, "e_tot_ev_per_cell": -10.66, "crystal_system": "trigonal"}

=====

No. 3
{"formula": "Ga3PdCl", "functional": "PBE-GGA", "state": "relaxed", "cell": [[-0.480, 4.856, 1.594], [-4.579, -1.119, 2.032], [2.270, -1.232, 4.436]], "species": ["Ga", "Ga", "Ga", "Pd", "Cl"], "fractional_positions": [[0.000, 0.500, 0.000], [0.000, 0.000, 0.500], [0.500, 0.000, 0.000], [0.500, 0.500, 0.500], [0.000, 0.000, 0.000]], "relative_energy_ev_per_atom": 0.942, "e_tot_ev_per_cell": -13.69, "crystal_system": "cubic", "formation_energy_uncorrected_mev_per_atom": 486}

=====

No. 4
{"formula": "Pm4Br5N2", "functional": "PBE-GGA", "state": "relaxed", "cell": [[3.731, 0.000, 0.000], [0.000, 8.329, 0.063], [-1.866, -2.424, 9.140]], "species": ["Pm", "Pm", "Pm", "Pm", "Br", "Br", "Br", "Br", "Br", "N", "N"], "fractional_positions": [[0.661, 0.596, 0.321], [0.000, 0.696, 0.001], [0.339, 0.404, 0.679], [0.000, 0.304, 0.999], [0.160, 0.872, 0.320], [0.840, 0.128, 0.680], [0.169, 0.315, 0.337], [0.500, 0.000, 0.000], [0.831, 0.685, 0.663], [0.538, 0.521, 0.075], [0.462, 0.479, 0.925]], "e_tot_ev_per_cell": -60.30, "crystal_system": "monoclinic", "formation_energy_uncorrected_mev_per_atom": -1480}

=====

No. 5
{"formula": "AgS2Br", "functional": "PBE-GGA", "state": "relaxed", "cell": [[-5.073, -0.982, 1.288], [-1.028, -1.320, -5.056], [-1.379, -7.915, -0.458]], "species": ["S", "S", "S", "S", "Br", "Br", "Ag", "Ag"], "fractional_positions": [[0.628, 0.125, 0.250], [0.122, 0.625, 0.250], [0.375, 0.372, 0.750], [0.875, 0.878, 0.750], [0.500, 0.500, 0.000], [0.250, 0.750, 0.500], [0.000, 0.000, 0.000], [0.750, 0.250, 0.500]], "relative_energy_ev_per_atom": 0.439, "e_tot_ev_per_cell": -20.70, "crystal_system": "tetragonal", "formation_energy_uncorrected_mev_per_atom": 608}

=====

No. 6
{"formula": "KTaAs2", "functional": "PBE-GGA", "state": "relaxed", "cell": [[-0.847, 2.444, -2.612], [-3.108, -0.369, -1.929], [-5.262, 5.201, 3.999]], "species": ["As", "As", "K", "Ta"], "fractional_positions": [[0.981, 0.981, 0.055], [0.519, 0.519, 0.445], [0.750, 0.750, 0.750], [0.250, 0.250, 0.250]], "relative_energy_ev_per_atom": 0.000, "e_tot_ev_per_cell": -23.81, "crystal_system": "monoclinic"}

=====

No. 7
{"formula": "FeSi2PbW", "functional": "PBE-GGA", "state": "relaxed", "cell": [[5.150, 0.000, 0.000], [0.000, 5.295, 0.000], [0.000, 0.000, 5.150]], "species": ["Pb", "Si", "Si", "Fe", "W"], "fractional_positions": [[0.000, 0.000, 0.000], [0.000, 0.000, 0.500], [0.500, 0.000, 0.000], [0.500, 0.500, 0.500], [0.000, 0.500, 0.000]], "e_tot_ev_per_cell": -23.03, "crystal_system": "tetragonal", "formation_energy_uncorrected_mev_per_atom": 2588}

=====

No. 8
{"formula": "BaCaSi", "functional": "PBE-GGA", "state": "relaxed", "cell": [[5.056, 0.000, 0.000], [0.000, 8.577, 0.000], [0.000, 0.000, 9.204]], "species": ["Ba", "Ba", "Ba", "Ba", "Ca", "Ca", "Ca", "Ca", "Si", "Si", "Si", "Si"], "fractional_positions": [[0.250, 0.029, 0.176], [0.750, 0.971, 0.824], [0.250, 0.529, 0.324], [0.750, 0.471, 0.676], [0.750, 0.359, 0.074], [0.250, 0.641, 0.926], [0.750, 0.859, 0.426], [0.250, 0.141, 0.574], [0.250, 0.781, 0.609], [0.750, 0.219, 0.391], [0.250, 0.281, 0.891], [0.750, 0.719, 0.109]], "relative_energy_ev_per_atom": 0.001, "e_tot_ev_per_cell": -42.42, "crystal_system": "orthorhombic", "formation_energy_uncorrected_mev_per_atom": -419}